DFT (PBE) results for a relaxed structure of LaAlTl2.

Cell: 5.3537 5.3537 5.3537 Å, 60.00 60.00 60.00°
Closest atoms and distances in Å follow each position.
Sites, in units of the cell vectors:
La1 0.0000 0.0000 0.0000  8 Tl 3.28
Al1 0.5000 0.5000 0.5000  8 Tl 3.28
Tl1 0.2500 0.2500 0.2500  4 La 3.28, 4 Al 3.28
Tl2 0.7500 0.7500 0.7500  4 La 3.28, 4 Al 3.28

Calculated values
ΔE_f in eV per atom: -0.1344
Calculated total energy in eV/cell: -13.94
Calculated volume in Å³ per atom: 27.13